Record 1
Sm2YIn | PBE-GGA | relaxed

Structure (CIF):
```
data_Sm2YIn
_symmetry_space_group_name_H-M 'P 1'
_symmetry_Int_Tables_number 1
_cell_length_a 3.672
_cell_length_b 3.672
_cell_length_c 11.147
_cell_angle_alpha 80.51
_cell_angle_beta 80.51
_cell_angle_gamma 59.99
loop_
_symmetry_equiv_pos_as_xyz
'x,y,z'
loop_
_atom_site_label
_atom_site_type_symbol
_atom_site_fract_x
_atom_site_fract_y
_atom_site_fract_z
Sm1 Sm 0.078 0.078 0.767
Sm2 Sm 0.256 0.256 0.233
Y1 Y 0.500 0.500 0.500
In1 In 0.666 0.666 0.001
```

Calculated values
E_form (eV per atom): -0.130
Excess energy over the best structure of this formula in the dataset (meV per atom): 143.7
V (A^3/atom): 31.95

Record 2
Pm7Y4Sc | PBE-GGA | relaxed

Structure (CIF):
```
data_Pm7Y4Sc
_symmetry_space_group_name_H-M 'P 1'
_symmetry_Int_Tables_number 1
_cell_length_a 7.178
_cell_length_b 6.216
_cell_length_c 9.508
_cell_angle_alpha 96.34
_cell_angle_beta 79.05
_cell_angle_gamma 73.55
loop_
_symmetry_equiv_pos_as_xyz
'x,y,z'
loop_
_atom_site_label
_atom_site_type_symbol
_atom_site_fract_x
_atom_site_fract_y
_atom_site_fract_z
Pm1 Pm 0.916 0.503 0.838
Pm2 Pm 0.084 0.497 0.162
Pm3 Pm 0.330 0.004 0.671
Pm4 Pm 0.670 0.996 0.329
Pm5 Pm 0.250 0.498 0.498
Pm6 Pm 0.500 0.000 0.000
Pm7 Pm 0.750 0.502 0.502
Y1 Y 0.587 0.493 0.165
Y2 Y 0.413 0.507 0.835
Y3 Y 0.834 0.001 0.670
Y4 Y 0.166 0.999 0.330
Sc1 Sc 0.000 0.000 0.000
```

Calculated values
E_form (eV per atom): 0.026
Excess energy over the best structure of this formula in the dataset (meV per atom): 0.0
V (A^3/atom): 32.77

Record 3
LaPm12Ho6 | PBE-GGA | relaxed

Structure (CIF):
```
data_LaPm12Ho6
_symmetry_space_group_name_H-M 'P 1'
_symmetry_Int_Tables_number 1
_cell_length_a 8.839
_cell_length_b 8.839
_cell_length_c 8.839
_cell_angle_alpha 99.21
_cell_angle_beta 99.21
_cell_angle_gamma 99.21
loop_
_symmetry_equiv_pos_as_xyz
'x,y,z'
loop_
_atom_site_label
_atom_site_type_symbol
_atom_site_fract_x
_atom_site_fract_y
_atom_site_fract_z
La1 La 0.000 0.000 0.000
Pm1 Pm 0.759 0.241 0.500
Pm2 Pm 0.354 0.081 0.354
Pm3 Pm 0.354 0.354 0.081
Pm4 Pm 0.919 0.646 0.646
Pm5 Pm 0.646 0.646 0.919
Pm6 Pm 0.646 0.919 0.646
Pm7 Pm 0.500 0.759 0.241
Pm8 Pm 0.241 0.500 0.759
Pm9 Pm 0.241 0.759 0.500
Pm10 Pm 0.500 0.241 0.759
Pm11 Pm 0.759 0.500 0.241
Pm12 Pm 0.081 0.354 0.354
Ho1 Ho 0.899 0.339 0.899
Ho2 Ho 0.899 0.899 0.339
Ho3 Ho 0.339 0.899 0.899
Ho4 Ho 0.101 0.101 0.661
Ho5 Ho 0.101 0.661 0.101
Ho6 Ho 0.661 0.101 0.101
```

Calculated values
E_form (eV per atom): 0.192
Excess energy over the best structure of this formula in the dataset (meV per atom): 57.3
V (A^3/atom): 34.76

Record 4
SrOs2Ru | PBE-GGA | relaxed

Structure (CIF):
```
data_SrOs2Ru
_symmetry_space_group_name_H-M 'P 1'
_symmetry_Int_Tables_number 1
_cell_length_a 4.496
_cell_length_b 2.836
_cell_length_c 6.079
_cell_angle_alpha 77.56
_cell_angle_beta 90.00
_cell_angle_gamma 90.00
loop_
_symmetry_equiv_pos_as_xyz
'x,y,z'
loop_
_atom_site_label
_atom_site_type_symbol
_atom_site_fract_x
_atom_site_fract_y
_atom_site_fract_z
Os1 Os 0.000 0.059 0.068
Os2 Os 0.000 0.441 0.432
Ru1 Ru 0.500 0.250 0.250
Sr1 Sr 0.500 0.750 0.750
```

Calculated values
E_form (eV per atom): 0.915
Excess energy over the best structure of this formula in the dataset (meV per atom): 309.3
V (A^3/atom): 18.92

Record 5
Pr3Cr5Se12 | PBE-GGA | relaxed

Structure (CIF):
```
data_Pr3Cr5Se12
_symmetry_space_group_name_H-M 'P 1'
_symmetry_Int_Tables_number 1
_cell_length_a 13.767
_cell_length_b 13.767
_cell_length_c 13.767
_cell_angle_alpha 109.47
_cell_angle_beta 109.47
_cell_angle_gamma 109.47
loop_
_symmetry_equiv_pos_as_xyz
'x,y,z'
loop_
_atom_site_label
_atom_site_type_symbol
_atom_site_fract_x
_atom_site_fract_y
_atom_site_fract_z
Pr1 Pr 0.750 0.375 0.125
Pr2 Pr 0.875 0.750 0.125
Pr3 Pr 0.375 0.750 0.625
Pr4 Pr 0.250 0.125 0.375
Pr5 Pr 0.875 0.125 0.250
Pr6 Pr 0.375 0.625 0.250
Pr7 Pr 0.625 0.375 0.750
Pr8 Pr 0.125 0.875 0.750
Pr9 Pr 0.750 0.875 0.625
Pr10 Pr 0.625 0.250 0.375
Pr11 Pr 0.125 0.250 0.875
Pr12 Pr 0.250 0.625 0.875
Cr1 Cr 0.125 0.375 0.250
Cr2 Cr 0.000 0.500 0.000
Cr3 Cr 0.000 0.000 0.000
Cr4 Cr 0.375 0.250 0.125
Cr5 Cr 0.500 0.000 0.500
Cr6 Cr 0.500 0.500 0.000
Cr7 Cr 0.125 0.750 0.375
Cr8 Cr 0.750 0.125 0.875
Cr9 Cr 0.750 0.625 0.375
Cr10 Cr 0.375 0.125 0.750
Cr11 Cr 0.625 0.875 0.250
Cr12 Cr 0.500 0.500 0.500
Cr13 Cr 0.500 0.000 0.000
Cr14 Cr 0.000 0.000 0.500
Cr15 Cr 0.250 0.375 0.625
Cr16 Cr 0.250 0.875 0.125
Cr17 Cr 0.000 0.500 0.500
Cr18 Cr 0.875 0.250 0.625
Cr19 Cr 0.625 0.750 0.875
Cr20 Cr 0.875 0.625 0.750
Se1 Se 0.705 0.118 0.027
Se2 Se 0.322 0.527 0.409
Se3 Se 0.973 0.382 0.295
Se4 Se 0.527 0.205 0.118
Se5 Se 0.587 0.705 0.678
Se6 Se 0.973 0.591 0.178
Se7 Se 0.322 0.795 0.413
Se8 Se 0.091 0.913 0.118
Se9 Se 0.591 0.973 0.678
Se10 Se 0.705 0.587 0.178
Se11 Se 0.795 0.473 0.382
Se12 Se 0.822 0.909 0.027
Se13 Se 0.118 0.705 0.527
Se14 Se 0.382 0.409 0.087
Se15 Se 0.087 0.909 0.382
Se16 Se 0.413 0.118 0.591
Se17 Se 0.087 0.178 0.205
Se18 Se 0.473 0.678 0.091
Se19 Se 0.822 0.913 0.295
Se20 Se 0.118 0.413 0.091
Se21 Se 0.382 0.973 0.795
Se22 Se 0.591 0.618 0.413
Se23 Se 0.909 0.822 0.527
Se24 Se 0.795 0.322 0.913
Se25 Se 0.409 0.382 0.587
Se26 Se 0.091 0.178 0.473
Se27 Se 0.205 0.678 0.087
Se28 Se 0.178 0.087 0.705
Se29 Se 0.618 0.027 0.205
Se30 Se 0.882 0.587 0.909
Se31 Se 0.527 0.322 0.909
Se32 Se 0.587 0.882 0.409
Se33 Se 0.913 0.822 0.795
Se34 Se 0.913 0.091 0.618
Se35 Se 0.882 0.295 0.473
Se36 Se 0.178 0.091 0.973
Se37 Se 0.618 0.591 0.913
Se38 Se 0.409 0.027 0.322
Se39 Se 0.295 0.413 0.822
Se40 Se 0.205 0.527 0.618
Se41 Se 0.909 0.087 0.882
Se42 Se 0.678 0.205 0.587
Se43 Se 0.473 0.795 0.882
Se44 Se 0.027 0.409 0.822
Se45 Se 0.413 0.295 0.322
Se46 Se 0.027 0.618 0.705
Se47 Se 0.678 0.473 0.591
Se48 Se 0.295 0.882 0.973
```

Calculated values
V (A^3/atom): 25.11
Uncorrected formation energy (eV per atom): -0.905

Record 6
KSiAu2 | PBE-GGA | relaxed

Structure (CIF):
```
data_KSiAu2
_symmetry_space_group_name_H-M 'P 1'
_symmetry_Int_Tables_number 1
_cell_length_a 4.557
_cell_length_b 8.270
_cell_length_c 8.270
_cell_angle_alpha 47.52
_cell_angle_beta 74.01
_cell_angle_gamma 74.01
loop_
_symmetry_equiv_pos_as_xyz
'x,y,z'
loop_
_atom_site_label
_atom_site_type_symbol
_atom_site_fract_x
_atom_site_fract_y
_atom_site_fract_z
K1 K 0.881 0.119 0.118
K2 K 0.119 0.382 0.381
Si1 Si 0.376 0.624 0.623
Si2 Si 0.624 0.877 0.876
Au1 Au 0.500 0.750 0.250
Au2 Au 0.500 0.250 0.750
Au3 Au 0.807 0.694 0.693
Au4 Au 0.193 0.807 0.806
```

Calculated values
V (A^3/atom): 27.40
Uncorrected formation energy (eV per atom): -0.271

Record 7
LiGePb2 | PBE-GGA | relaxed

Structure (CIF):
```
data_LiGePb2
_symmetry_space_group_name_H-M 'P 1'
_symmetry_Int_Tables_number 1
_cell_length_a 3.534
_cell_length_b 3.534
_cell_length_c 10.499
_cell_angle_alpha 80.31
_cell_angle_beta 80.31
_cell_angle_gamma 60.00
loop_
_symmetry_equiv_pos_as_xyz
'x,y,z'
loop_
_atom_site_label
_atom_site_type_symbol
_atom_site_fract_x
_atom_site_fract_y
_atom_site_fract_z
Pb1 Pb 0.092 0.092 0.725
Pb2 Pb 0.908 0.908 0.275
Ge1 Ge 0.500 0.500 0.500
Li1 Li 0.000 0.000 0.000
```

Calculated values
E_form (eV per atom): 0.144
V (A^3/atom): 27.84

Record 8
AlSiHg | PBE-GGA | relaxed

Structure (CIF):
```
data_AlSiHg
_symmetry_space_group_name_H-M 'P 1'
_symmetry_Int_Tables_number 1
_cell_length_a 3.058
_cell_length_b 3.058
_cell_length_c 7.078
_cell_angle_alpha 90.00
_cell_angle_beta 90.00
_cell_angle_gamma 120.00
loop_
_symmetry_equiv_pos_as_xyz
'x,y,z'
loop_
_atom_site_label
_atom_site_type_symbol
_atom_site_fract_x
_atom_site_fract_y
_atom_site_fract_z
Si1 Si 0.333 0.667 0.694
Hg1 Hg 0.667 0.333 0.328
Al1 Al 0.000 0.000 0.978
```

Calculated values
Excess energy over the best structure of this formula in the dataset (meV per atom): 137.0
V (A^3/atom): 19.11
Uncorrected formation energy (eV per atom): 0.368